Computed, not measured: a relaxed RbScHg2Sb crystal at the PBE level of DFT.

The structure belongs to space group P4/mmm (No. 123); the cell edges are 5.776, 5.776 and 5.528 Å and the angles 90.00°, 90.00° and 90.00°. The distinct sites, in fractional coordinates, are Rb at (0.000, 0.000, 0.000), Sc at (0.500, 0.500, 0.500), Hg at (0.000, 0.500, 0.500) and Sb at (0.500, 0.500, 0.000).

For the total DFT energy (no corrections), the calculation gives -2.65 eV/atom. The value obtained for the density of states at the Fermi level is 0.81 states/eV per atom. The calculation puts the volume at 184.42 Å³/f.u. The calculation puts the total magnetic moment at 0.2 μB/f.u. The crystal system is tetragonal.



Computed, not measured: a relaxed Rb2ScHgSb crystal at the PBE level of DFT.

The structure belongs to space group P4/mmm (No. 123); the cell edges are 6.153, 6.153 and 5.758 Å and the angles 90.00°, 90.00° and 90.00°. The distinct sites, in fractional coordinates, are Rb at (0.000, 0.500, 0.000), Sc at (0.000, 0.000, 0.500), Hg at (0.000, 0.000, 0.000) and Sb at (0.500, 0.500, 0.500).

For the total DFT energy (no corrections), the calculation gives -2.18 eV/atom. The value obtained for the density of states at the Fermi level is 1.22 states/eV per atom. The calculation puts the volume at 217.99 Å³/f.u. The calculation puts the total magnetic moment at 0.7 μB/f.u. The crystal system is tetragonal.



Computed, not measured: a relaxed RbHg2SbSe crystal at the PBE level of DFT.

The structure belongs to space group P4/mmm (No. 123); the cell edges are 5.775, 5.775 and 5.718 Å and the angles 90.00°, 90.00° and 90.00°. The distinct sites, in fractional coordinates, are Rb at (0.000, 0.000, 0.000), Hg at (0.000, 0.500, 0.500), Sb at (0.500, 0.500, 0.500) and Se at (0.500, 0.500, 0.000).

For the total DFT energy (no corrections), the calculation gives -2.07 eV/atom. The value obtained for the density of states at the Fermi level is 0.56 states/eV per atom. The calculation puts the volume at 190.70 Å³/f.u. The calculation puts the total magnetic moment at 0.0 μB/f.u. The crystal system is tetragonal.



Computed, not measured: a relaxed RbHgSbSe3 crystal at the PBE level of DFT.

The structure belongs to space group P2_1/m (No. 11); the cell edges are 9.433, 4.308 and 10.455 Å and the angles 90.00°, 104.45° and 90.00°. The distinct sites, in fractional coordinates, are Rb at (0.185, 0.250, 0.235), Hg at (0.101, 0.250, 0.617), Sb at (0.343, 0.750, 0.875), Se at (0.140, 0.250, 0.882), Se at (0.206, 0.750, 0.513) and Se at (0.438, 0.750, 0.133).

For the total DFT energy (no corrections), the calculation gives -3.17 eV/atom. The energy above the most stable polymorph in this dataset comes out at 0.016 eV per atom. The calculation puts the volume at 205.72 Å³/f.u. The calculation puts the total magnetic moment at 0.0 μB/f.u. The crystal system is monoclinic.



Computed, not measured: a relaxed RbHgSbSe3 crystal at the PBE level of DFT.

The structure belongs to space group P2_1/c (No. 14); the cell edges are 8.040, 11.502 and 9.082 Å and the angles 90.00°, 106.21° and 90.00°. The distinct sites, in fractional coordinates, are Rb at (0.019, 0.247, 0.380), Hg at (0.411, 0.749, 0.478), Sb at (0.445, 0.000, 0.736), Se at (0.235, 0.550, 0.405), Se at (0.237, 0.551, 0.963) and Se at (0.372, 0.226, 0.718).

For the total DFT energy (no corrections), the calculation gives -3.18 eV/atom. The energy above the most stable polymorph in this dataset comes out at 0.000 eV per atom. The calculation puts the volume at 201.60 Å³/f.u. The calculation puts the total magnetic moment at 0.0 μB/f.u. The crystal system is monoclinic.



Computed, not measured: a relaxed Rb2HgSbSe4 crystal at the PBE level of DFT.

The structure belongs to space group I-4 (No. 82); the cell edges are 8.079, 8.079 and 9.132 Å and the angles 90.00°, 90.00° and 90.00°. The distinct sites, in fractional coordinates, are Rb at (0.000, 0.000, 0.000), Rb at (0.000, 0.500, 0.250), Hg at (0.000, 0.500, 0.750), Sb at (0.000, 0.000, 0.500) and Se at (0.163, 0.768, 0.646).

For the total DFT energy (no corrections), the calculation gives -3.11 eV/atom. The value obtained for the density of states at the Fermi level is 0.75 states/eV per atom. The calculation puts the volume at 298.03 Å³/f.u. The calculation puts the total magnetic moment at 0.2 μB/f.u. The crystal system is tetragonal.



Computed, not measured: a relaxed RbHg2SbSe4 crystal at the PBE level of DFT.

The structure belongs to space group I222 (No. 23); the cell edges are 7.209, 8.571 and 9.168 Å and the angles 90.00°, 90.00° and 90.00°. The distinct sites, in fractional coordinates, are Rb at (0.000, 0.000, 0.000), Hg at (0.000, 0.500, 0.183), Sb at (0.000, 0.000, 0.500) and Se at (0.228, 0.182, 0.320).

For the total DFT energy (no corrections), the calculation gives -2.83 eV/atom. The calculation puts the volume at 283.25 Å³/f.u. The calculation puts the total magnetic moment at 0.0 μB/f.u. The crystal system is orthorhombic.



Computed, not measured: a relaxed RbSnHgSb2 crystal at the PBE level of DFT.

The structure belongs to space group P2/c (No. 13); the cell edges are 8.283, 7.289 and 7.097 Å and the angles 90.00°, 115.17° and 90.00°. The distinct sites, in fractional coordinates, are Rb at (0.000, 0.235, 0.250), Sn at (0.500, 0.499, 0.250), Hg at (0.500, 0.000, 0.000) and Sb at (0.256, 0.280, 0.878).

For the total DFT energy (no corrections), the calculation gives -2.87 eV/atom. The value obtained for the density of states at the Fermi level is 0.25 states/eV per atom. The calculation puts the volume at 193.89 Å³/f.u. The calculation puts the total magnetic moment at 0.0 μB/f.u. The crystal system is monoclinic.



Computed, not measured: a relaxed RbSrHg2Sb2 crystal at the PBE level of DFT.

The structure belongs to space group P-3m1 (No. 164); the cell edges are 5.0832, 5.0832 and 9.4361 Å and the angles 90.00°, 90.00° and 120.00°. The distinct sites, in fractional coordinates, are Rb at (0.0000, 0.0000, 0.0000), Sr at (0.0000, 0.0000, 0.5000), Hg at (0.3333, 0.6667, 0.3166) and Sb at (0.3333, 0.6667, 0.7230).

For the total DFT energy (no corrections), the calculation gives -2.40 eV/atom. The value obtained for the density of states at the Fermi level is 0.25 states/eV per atom. The calculation puts the volume at 211.15 Å³/f.u. The calculation puts the total magnetic moment at 0.0 μB/f.u. The crystal system is trigonal.



Computed, not measured: a relaxed RbHgSbTe2 crystal at the PBE level of DFT.

The structure belongs to space group P4/mmm (No. 123); the cell edges are 5.975, 5.975 and 5.699 Å and the angles 90.00°, 90.00° and 90.00°. The distinct sites, in fractional coordinates, are Rb at (0.000, 0.000, 0.000), Hg at (0.500, 0.500, 0.000), Sb at (0.500, 0.500, 0.500) and Te at (0.000, 0.500, 0.500).

For the total DFT energy (no corrections), the calculation gives -2.58 eV/atom. The energy above the most stable polymorph in this dataset comes out at 0.000 eV per atom. The value obtained for the density of states at the Fermi level is 0.78 states/eV per atom. The calculation puts the volume at 203.43 Å³/f.u. The calculation puts the total magnetic moment at 0.0 μB/f.u. The crystal system is tetragonal.



Computed, not measured: a relaxed RbHgSbTe2 crystal at the PBE level of DFT.

The structure belongs to space group P4/mmm (No. 123); the cell edges are 5.921, 5.921 and 5.543 Å and the angles 90.00°, 90.00° and 90.00°. The distinct sites, in fractional coordinates, are Rb at (0.000, 0.000, 0.000), Hg at (0.500, 0.500, 0.500), Sb at (0.500, 0.500, 0.000) and Te at (0.000, 0.500, 0.500).

For the total DFT energy (no corrections), the calculation gives -2.25 eV/atom. The energy above the most stable polymorph in this dataset comes out at 0.331 eV per atom. The value obtained for the density of states at the Fermi level is 0.85 states/eV per atom. The calculation puts the volume at 194.37 Å³/f.u. The calculation puts the total magnetic moment at 0.0 μB/f.u. The crystal system is tetragonal.



Computed, not measured: a relaxed RbHgSbTe2 crystal at the PBE level of DFT.

The structure belongs to space group P4/mmm (No. 123); the cell edges are 6.448, 6.448 and 6.353 Å and the angles 90.00°, 90.00° and 90.00°. The distinct sites, in fractional coordinates, are Rb at (0.000, 0.000, 0.000), Hg at (0.500, 0.500, 0.500), Sb at (0.000, 0.000, 0.500) and Te at (0.000, 0.500, 0.000).

For the total DFT energy (no corrections), the calculation gives -1.36 eV/atom. The energy above the most stable polymorph in this dataset comes out at 1.216 eV per atom. The value obtained for the density of states at the Fermi level is 1.63 states/eV per atom. The calculation puts the volume at 264.12 Å³/f.u. The calculation puts the total magnetic moment at 1.2 μB/f.u. The crystal system is tetragonal.



Which of these has the highest total DFT energy (no corrections)?
number 12



Copy entry 5 word for word.
Computed, not measured: a relaxed RbHgSbSe3 crystal at the PBE level of DFT.

The structure belongs to space group P2_1/c (No. 14); the cell edges are 8.040, 11.502 and 9.082 Å and the angles 90.00°, 106.21° and 90.00°. The distinct sites, in fractional coordinates, are Rb at (0.019, 0.247, 0.380), Hg at (0.411, 0.749, 0.478), Sb at (0.445, 0.000, 0.736), Se at (0.235, 0.550, 0.405), Se at (0.237, 0.551, 0.963) and Se at (0.372, 0.226, 0.718).

For the total DFT energy (no corrections), the calculation gives -3.18 eV/atom. The energy above the most stable polymorph in this dataset comes out at 0.000 eV per atom. The calculation puts the volume at 201.60 Å³/f.u. The calculation puts the total magnetic moment at 0.0 μB/f.u. The crystal system is monoclinic.



Among the records above, which one has the highest volume?
Rb2HgSbSe4



The lowest total DFT energy (no corrections) belongs to which entry?
number 5